{
  "formula": "LiY3Sn3",
  "functional": "PBE",
  "state": "relaxed",
  "formation_enthalpy_0k_ev_per_atom": -0.694,
  "vol_a3_per_atom": 25.86,
  "dos_ef_per_ev_atom": 0.58,
  "cell": [[5.698, -2.280, 0.000], [5.698, 2.280, 0.000], [-4.842, 0.000, 13.932]],
  "species": ["Li", "Li", "Y", "Y", "Y", "Y", "Y", "Y", "Sn", "Sn", "Sn", "Sn", "Sn", "Sn"],
  "fractional_positions": [[0.239, 0.239, 0.399], [0.761, 0.761, 0.601], [0.259, 0.259, 0.776], [0.405, 0.405, 0.081], [0.466, 0.466, 0.616], [0.534, 0.534, 0.384], [0.595, 0.595, 0.919], [0.741, 0.741, 0.224], [0.028, 0.028, 0.236], [0.131, 0.131, 0.075], [0.137, 0.137, 0.552], [0.863, 0.863, 0.448], [0.869, 0.869, 0.925], [0.972, 0.972, 0.764]]
}